(1)
# IrOsRu2

An optimized crystal structure of IrOsRu2 (PBE-GGA, Alexandria via LeMat-Bulk).

Calculated values
**ΔE to the lowest computed polymorph**: 658 meV per atom

a b c (Å): 4.3553 4.3553 4.3553
angles (deg): 60.00 60.00 60.00
Element x y z (fractional)
Ru1 0.2500 0.2500 0.2500
Ru2 0.7500 0.7500 0.7500
Ir1 0.5000 0.5000 0.5000
Os1 0.0000 0.0000 0.0000

(2)
# SnSbPbSe

An optimized crystal structure of SnSbPbSe (PBE-GGA, Alexandria via LeMat-Bulk).

Calculated values
**Uncorrected energy**: -4.0128 eV/atom

a b c (Å): 5.1270 5.1270 12.3190
angles (deg): 77.99 77.99 60.00
Element x y z (fractional)
Sn1 0.6979 0.6979 0.9062
Sn2 0.3021 0.3021 0.0938
Sb1 0.6149 0.6149 0.1553
Sb2 0.3851 0.3851 0.8447
Pb1 0.1232 0.1232 0.6304
Pb2 0.8768 0.8768 0.3696
Se1 0.7965 0.7965 0.6105
Se2 0.2035 0.2035 0.3895

(3)
# GaFeI6

An optimized crystal structure of GaFeI6 (PBE-GGA, Alexandria via LeMat-Bulk).

Calculated values
**Uncorrected energy**: -2.7039 eV/atom

a b c (Å): 9.3708 9.3708 9.1078
angles (deg): 108.92 109.38 111.25
Element x y z (fractional)
Ga1 0.0000 0.0000 0.5000
Ga2 0.5000 0.5000 0.5000
Fe1 0.0000 0.5000 0.0000
Fe2 0.5000 0.0000 0.0000
I1 0.2034 0.6758 0.8792
I2 0.7966 0.3242 0.1208
I3 0.8352 0.7138 0.5490
I4 0.1648 0.2862 0.4510
I5 0.8785 0.1988 0.7113
I6 0.1215 0.8012 0.2887
I7 0.5125 0.8328 0.7113
I8 0.4875 0.1672 0.2887
I9 0.6963 0.8779 0.1928
I10 0.3037 0.1221 0.8072
I11 0.6851 0.5034 0.8072
I12 0.3149 0.4966 0.1928

(4)
# Y3SiSe6

An optimized crystal structure of Y3SiSe6 (PBE-GGA, Alexandria via LeMat-Bulk).

Calculated values
**Uncorrected energy**: -5.9836 eV/atom

a b c (Å): 6.7980 8.9190 8.9190
angles (deg): 102.29 90.00 90.00
Element x y z (fractional)
Y1 0.4833 0.9145 0.7204
Y2 0.9833 0.7204 0.9145
Y3 0.3872 0.4042 0.5958
Y4 0.8872 0.5958 0.4042
Y5 0.9833 0.0855 0.2796
Y6 0.4833 0.2796 0.0855
Si1 0.0279 0.2028 0.7972
Si2 0.5279 0.7972 0.2028
Se1 0.1851 0.6966 0.6279
Se2 0.6851 0.6279 0.6966
Se3 0.2003 0.4332 0.8999
Se4 0.7003 0.8999 0.4332
Se5 0.1631 0.0420 0.9580
Se6 0.6697 0.2155 0.7845
Se7 0.1697 0.7845 0.2155
Se8 0.6631 0.9580 0.0420
Se9 0.2003 0.1001 0.5668
Se10 0.7003 0.5668 0.1001
Se11 0.1851 0.3721 0.3034
Se12 0.6851 0.3034 0.3721